Arrangement 1

Material: AcSm2Tm
Method: DFT, PBE-GGA
State: optimized geometry Values from VASP.

For the density of states at the Fermi level, the calculation gives 18.65 states/eV per cell.

Cell and atoms, written as Quantum ESPRESSO input:
```
&SYSTEM
  ibrav = 0, nat = 12, ntyp = 3
/
ATOMIC_SPECIES
Ac 227.00 Ac.upf
Sm 150.36 Sm.upf
Tm 168.93 Tm.upf
CELL_PARAMETERS angstrom
3.608 0.000 0.000
-1.804 3.125 0.000
0.000 0.000 38.328
ATOMIC_POSITIONS crystal
Ac 0.000 0.000 0.000
Ac 0.333 0.667 0.667
Ac 0.667 0.333 0.333
Sm 0.000 0.000 0.093
Sm 0.000 0.000 0.907
Sm 0.333 0.667 0.574
Sm 0.333 0.667 0.760
Sm 0.667 0.333 0.240
Sm 0.667 0.333 0.426
Tm 0.000 0.000 0.500
Tm 0.333 0.667 0.167
Tm 0.667 0.333 0.833
```


Arrangement 2

Material: AcSm2Tm
Method: DFT, PBE-GGA
State: optimized geometry Values from VASP.

For the density of states at the Fermi level, the calculation gives 6.80 states/eV per cell.

Cell and atoms, written as Quantum ESPRESSO input:
```
&SYSTEM
  ibrav = 0, nat = 4, ntyp = 3
/
ATOMIC_SPECIES
Ac 227.00 Ac.upf
Sm 150.36 Sm.upf
Tm 168.93 Tm.upf
CELL_PARAMETERS angstrom
3.707 0.000 0.000
0.000 3.707 0.000
0.000 0.000 10.324
ATOMIC_POSITIONS crystal
Ac 0.000 0.000 0.000
Sm 0.500 0.500 0.265
Sm 0.500 0.500 0.735
Tm 0.000 0.000 0.500
```


It is arrangement 2 that is most stable; the runner-up trails by 119 meV per atom.